(1)
Entry from Alexandria: a relaxed Pm6Rh3Cl2 crystal (GGA-PBE).

CIF file:
```
data_Pm6Rh3Cl2
_space_group_name_H-M_alt 'C 1 2/m 1'
_space_group_IT_number 12
_cell_length_a 7.078
_cell_length_b 12.257
_cell_length_c 7.572
_cell_angle_alpha 90.00
_cell_angle_beta 108.20
_cell_angle_gamma 90.00
loop_
_space_group_symop_operation_xyz
'x,y,z'
'-x,-y,-z'
'-x,y,-z'
'x,-y,z'
'x+1/2,y+1/2,z'
'-x+1/2,-y+1/2,-z'
'-x+1/2,y+1/2,-z'
'x+1/2,-y+1/2,z'
loop_
_atom_site_label
_atom_site_fract_x
_atom_site_fract_y
_atom_site_fract_z
Pm1 0.233 0.000 0.211
Pm2 0.241 0.336 0.215
Rh1 0.000 0.171 0.000
Rh2 0.000 0.500 0.000
Cl1 0.000 0.334 0.500
```

---

(2)
Entry from Alexandria: a relaxed Pm8Rh5Cl crystal (GGA-PBE).

CIF file:
```
data_Pm8Rh5Cl
_space_group_name_H-M_alt 'I -4'
_space_group_IT_number 82
_cell_length_a 8.890
_cell_length_b 8.890
_cell_length_c 8.882
_cell_angle_alpha 90.00
_cell_angle_beta 90.00
_cell_angle_gamma 90.00
loop_
_space_group_symop_operation_xyz
'x,y,z'
'y,-x,-z'
'-x,-y,z'
'-y,x,-z'
'x+1/2,y+1/2,z+1/2'
'y+1/2,-x+1/2,-z+1/2'
'-x+1/2,-y+1/2,z+1/2'
'-y+1/2,x+1/2,-z+1/2'
loop_
_atom_site_label
_atom_site_fract_x
_atom_site_fract_y
_atom_site_fract_z
Pm1 0.060 0.303 0.419
Pm2 0.063 0.183 0.816
Rh1 0.000 0.000 0.500
Rh2 0.121 0.245 0.119
Cl1 0.000 0.500 0.750
```

---

(3)
Entry from Alexandria: a relaxed Pm3RhCl3 crystal (GGA-PBE).

CIF file:
```
data_Pm3RhCl3
_space_group_name_H-M_alt 'I 41 3 2'
_space_group_IT_number 214
_space_group_name_Hall 'I 4bd 2c 3'
_cell_length_a 11.703
_cell_length_b 11.703
_cell_length_c 11.703
_cell_angle_alpha 90.00
_cell_angle_beta 90.00
_cell_angle_gamma 90.00
loop_
_atom_site_label
_atom_site_fract_x
_atom_site_fract_y
_atom_site_fract_z
Pm1 0.113 0.363 0.125
Rh1 0.125 0.125 0.125
Cl1 0.124 0.126 0.625
```

---

Number 1: V 624 Å³ per cell, density 6651 kg/m³, E_form (uncorrected) -22.18 kcal/mol of atoms. Number 2: V 702 Å³ per cell, density 8089 kg/m³, E_form (uncorrected) -17.42 kcal/mol of atoms. Number 3: V 1603 Å³ per cell, density 5340 kg/m³, E_form (uncorrected) -36.08 kcal/mol of atoms.